First-principles (PBE-GGA) data for a geometry-optimized FeNi2Br structure, as listed in Alexandria via LeMat-Bulk.

Geometry as POSCAR:
```
FeNi2Br
1.0
7.232 -0.279 -0.164
6.669 2.811 -0.164
6.669 1.215 2.540
Fe Ni Br
1 2 1
Direct
0.750 0.750 0.750
0.008 0.008 0.008
0.492 0.492 0.492
0.250 0.250 0.250
```

Total magnetization, μB/f.u.: 4.0
SG: R-3m
ΔE to the lowest computed polymorph, eV per atom: 0.159
Formation energy from raw total energies, eV per atom: 0.433

---

First-principles (PBE-GGA) data for a geometry-optimized Y4TmSc5 structure, as listed in Alexandria via LeMat-Bulk.

Geometry as POSCAR:
```
Y4TmSc5
1.0
-2.779 -1.720 -0.877
5.393 -9.321 1.166
-2.058 2.814 7.530
Y Sc Tm
4 5 1
Direct
0.610 0.793 0.218
0.090 0.302 0.181
0.390 0.207 0.782
0.910 0.698 0.819
0.214 0.618 0.426
0.192 0.080 0.384
0.808 0.920 0.616
0.500 0.500 0.000
0.786 0.382 0.574
0.500 0.000 0.000
```

Total magnetization, μB/f.u.: 0.8
SG: C2/m
ΔE to the lowest computed polymorph, eV per atom: 0.000
Formation energy, eV per atom: 0.09

---

First-principles (PBE-GGA) data for a geometry-optimized Be2SnTe structure, as listed in Alexandria via LeMat-Bulk.

Geometry as POSCAR:
```
Be2SnTe
1.0
-2.140 0.375 5.509
-4.996 -2.648 -1.761
-1.511 -5.757 2.988
Te Be Sn
2 4 2
Direct
0.750 0.250 0.500
0.000 0.000 0.000
0.640 0.125 0.250
0.375 0.360 0.750
0.110 0.625 0.250
0.875 0.890 0.750
0.500 0.500 0.000
0.250 0.750 0.500
```

Total magnetization, μB/f.u.: 0.0
SG: I-42d
ΔE to the lowest computed polymorph, eV per atom: 0.000
Formation energy from raw total energies, eV per atom: 0.248

---

First-principles (PBE-GGA) data for a geometry-optimized ZnAgRu2 structure, as listed in Alexandria via LeMat-Bulk.

Geometry as POSCAR:
```
ZnAgRu2
1.0
-4.221 -1.720 -0.983
0.725 -3.390 -3.118
2.021 0.687 4.145
Zn Ag Ru
1 1 2
Direct
0.500 0.500 0.000
0.750 0.250 0.500
0.250 0.750 0.500
0.000 0.000 0.000
```

Total magnetization, μB/f.u.: 0.0
SG: I-4m2
Formation energy, eV per atom: 0.32

---

First-principles (PBE-GGA) data for a geometry-optimized Eu2AsH structure, as listed in Alexandria via LeMat-Bulk.

Geometry as POSCAR:
```
Eu2AsH
1.0
-3.468 -1.125 0.433
1.074 -4.245 -2.431
1.246 -2.169 4.339
Eu H As
2 1 1
Direct
0.000 0.500 0.000
0.000 0.000 0.500
0.500 0.000 0.000
0.500 0.500 0.500
```

Total magnetization, μB/f.u.: 14.1
SG: P4/mmm
ΔE to the lowest computed polymorph, eV per atom: 0.183

---

First-principles (PBE-GGA) data for a geometry-optimized Zn4Ag8Bi structure, as listed in Alexandria via LeMat-Bulk.

Geometry as POSCAR:
```
Zn4Ag8Bi
1.0
4.879 0.000 1.961
2.439 6.675 0.980
-0.050 0.000 7.174
Ag Zn Bi
8 4 1
Direct
0.000 0.649 0.351
0.500 0.782 0.218
0.282 0.218 0.218
0.000 0.351 0.649
0.500 0.218 0.782
0.718 0.782 0.782
0.351 0.649 0.649
0.649 0.351 0.351
0.000 0.000 0.500
0.000 0.500 0.000
0.500 0.500 0.000
0.500 0.000 0.500
0.000 0.000 0.000
```

Total magnetization, μB/f.u.: 0.0
SG: I4/mmm
Formation energy, eV per atom: -0.01

---

First-principles (PBE-GGA) data for a geometry-optimized NaLi2P2 structure, as listed in Alexandria via LeMat-Bulk.

Geometry as POSCAR:
```
NaLi2P2
1.0
-6.446 -2.905 3.081
-2.999 -0.830 -7.057
1.012 -2.401 -0.148
Na P Li
2 4 4
Direct
0.000 0.000 0.000
0.500 0.500 0.000
0.174 0.674 0.500
0.674 0.826 0.500
0.326 0.174 0.500
0.826 0.326 0.500
0.621 0.121 0.000
0.121 0.379 0.000
0.879 0.621 0.000
0.379 0.879 0.000
```

Total magnetization, μB/f.u.: 0.0
SG: P4/mbm
ΔE to the lowest computed polymorph, eV per atom: 0.078
Formation energy, eV per atom: -0.41

---

First-principles (PBE-GGA) data for a geometry-optimized Rb2ZrTcO6 structure, as listed in Alexandria via LeMat-Bulk.

Geometry as POSCAR:
```
Rb2ZrTcO6
1.0
4.262 0.000 0.000
0.000 5.786 0.000
0.000 0.000 5.786
O Rb Zr Tc
6 2 1 1
Direct
0.647 0.766 0.766
0.647 0.234 0.234
0.148 0.500 0.500
0.177 0.000 0.000
0.647 0.766 0.234
0.647 0.234 0.766
0.140 0.000 0.500
0.140 0.500 0.000
0.656 0.500 0.500
0.596 0.000 0.000
```

Total magnetization, μB/f.u.: 0.5
SG: P4mm
Formation energy from raw total energies, eV per atom: -2.022

---

First-principles (PBE-GGA) data for a geometry-optimized Ta2InRh3 structure, as listed in Alexandria via LeMat-Bulk.

Geometry as POSCAR:
```
Ta2InRh3
1.0
3.338 0.000 0.000
0.000 3.338 0.000
0.000 0.000 8.996
Rh Ta In
3 2 1
Direct
0.000 0.000 0.000
0.000 0.000 0.686
0.000 0.000 0.314
0.500 0.500 0.163
0.500 0.500 0.837
0.500 0.500 0.500
```

Total magnetization, μB/f.u.: 0.0
SG: P4/mmm
Formation energy, eV per atom: -0.39

---

First-principles (PBE-GGA) data for a geometry-optimized Pm2HgBi4 structure, as listed in Alexandria via LeMat-Bulk.

Geometry as POSCAR:
```
Pm2HgBi4
1.0
4.619 0.000 0.000
0.000 4.619 0.000
0.000 0.000 10.300
Bi Pm Hg
4 2 1
Direct
0.500 0.500 0.500
0.000 0.500 0.814
0.500 0.000 0.186
0.000 0.000 0.500
0.000 0.500 0.250
0.500 0.000 0.750
0.500 0.500 0.000
```

Total magnetization, μB/f.u.: 0.0
SG: P-4m2
Formation energy, eV per atom: -0.52

---

First-principles (PBE-GGA) data for a geometry-optimized Zr3Ti2Hg2 structure, as listed in Alexandria via LeMat-Bulk.

Geometry as POSCAR:
```
Zr3Ti2Hg2
1.0
-4.252 1.373 0.007
-0.389 -1.190 -2.784
-5.092 -8.522 4.353
Zr Ti Hg
3 2 2
Direct
0.151 0.000 0.697
0.849 0.000 0.303
0.000 0.000 0.000
0.274 0.500 0.451
0.726 0.500 0.549
0.576 0.500 0.847
0.424 0.500 0.153
```

Total magnetization, μB/f.u.: 0.0
SG: Cmmm
Formation energy, eV per atom: -0.06

---

First-principles (PBE-GGA) data for a geometry-optimized CoW2Se structure, as listed in Alexandria via LeMat-Bulk.

Geometry as POSCAR:
```
CoW2Se
1.0
-2.051 2.622 -2.244
-2.339 -1.615 0.251
-2.520 1.808 4.416
Se W Co
1 2 1
Direct
0.500 0.750 0.750
0.000 0.962 0.008
0.000 0.538 0.492
0.500 0.250 0.250
```

Total magnetization, μB/f.u.: 0.7
SG: P2/m
Formation energy from raw total energies, eV per atom: 0.512

---

First-principles (PBE-GGA) data for a geometry-optimized TbNd5Rh4 structure, as listed in Alexandria via LeMat-Bulk.

Geometry as POSCAR:
```
TbNd5Rh4
1.0
4.278 0.000 0.000
0.000 7.453 -1.239
-2.139 -2.337 9.039
Nd Rh Tb
5 4 1
Direct
0.164 0.409 0.328
0.836 0.080 0.672
0.500 0.500 0.000
0.164 0.920 0.328
0.836 0.591 0.672
0.698 0.198 0.395
0.000 0.753 0.000
0.302 0.802 0.605
0.000 0.247 0.000
0.500 0.000 0.000
```

Total magnetization, μB/f.u.: 0.0
SG: C2/m
Formation energy, eV per atom: -0.56

---

First-principles (PBE-GGA) data for a geometry-optimized ScMoPd2 structure, as listed in Alexandria via LeMat-Bulk.

Geometry as POSCAR:
```
ScMoPd2
1.0
3.978 0.000 0.000
0.000 3.978 0.000
1.989 1.989 9.082
Sc Mo Pd
2 2 4
Direct
0.250 0.750 0.500
0.500 0.500 0.000
0.750 0.250 0.500
0.000 0.000 0.000
0.875 0.882 0.750
0.632 0.125 0.250
0.118 0.625 0.250
0.375 0.368 0.750
```

Total magnetization, μB/f.u.: 0.0
SG: I-42d
ΔE to the lowest computed polymorph, eV per atom: 0.335
Formation energy, eV per atom: 0.18

---

First-principles (PBE-GGA) data for a geometry-optimized Pm8In2Ir structure, as listed in Alexandria via LeMat-Bulk.

Geometry as POSCAR:
```
Pm8In2Ir
1.0
5.243 0.000 0.000
0.000 6.905 0.036
-2.622 -2.892 9.203
In Pm Ir
2 8 1
Direct
0.820 0.265 0.640
0.180 0.735 0.360
0.353 0.027 0.706
0.590 0.440 0.180
0.788 0.696 0.576
0.016 0.785 0.033
0.410 0.560 0.820
0.647 0.973 0.294
0.984 0.215 0.967
0.212 0.304 0.424
0.500 0.000 0.000
```

Total magnetization, μB/f.u.: 0.0
SG: C2/m
Formation energy, eV per atom: -0.32

---

First-principles (PBE-GGA) data for a geometry-optimized Sc2CO structure, as listed in Alexandria via LeMat-Bulk.

Geometry as POSCAR:
```
Sc2CO
1.0
-0.331 4.006 2.161
-0.498 -1.557 2.809
6.443 -0.064 1.106
O C Sc
2 2 4
Direct
0.201 0.733 0.725
0.701 0.233 0.490
0.701 0.233 0.973
0.201 0.733 0.243
0.701 0.733 0.743
0.201 0.233 0.473
0.701 0.733 0.226
0.201 0.233 0.990
```

Total magnetization, μB/f.u.: 0.0
SG: Pmmn
ΔE to the lowest computed polymorph, eV per atom: 0.012
Formation energy from raw total energies, eV per atom: -1.893

---

First-principles (PBE-GGA) data for a geometry-optimized Sr3GaSn2Au6 structure, as listed in Alexandria via LeMat-Bulk.

Geometry as POSCAR:
```
Sr3GaSn2Au6
1.0
6.469 0.000 0.000
-3.235 5.603 0.000
0.000 0.000 8.654
Sr Sn Au Ga
3 2 6 1
Direct
0.333 0.667 0.646
0.667 0.333 0.354
0.000 0.000 0.000
0.667 0.333 0.945
0.333 0.667 0.055
0.824 0.176 0.695
0.649 0.824 0.305
0.351 0.176 0.695
0.176 0.824 0.305
0.824 0.649 0.695
0.176 0.351 0.305
0.000 0.000 0.500
```

Total magnetization, μB/f.u.: 0.0
SG: P-3m1
Formation energy, eV per atom: -0.54

---

First-principles (PBE-GGA) data for a geometry-optimized LaCuSn structure, as listed in Alexandria via LeMat-Bulk.

Geometry as POSCAR:
```
LaCuSn
1.0
-1.383 0.228 4.218
0.307 -5.869 -1.921
5.614 -1.133 1.906
Sn La Cu
2 2 2
Direct
0.365 0.322 0.647
0.147 0.887 0.008
0.676 0.943 0.518
0.442 0.478 0.128
0.973 0.539 0.741
0.776 0.145 0.992
```

Total magnetization, μB/f.u.: 0.0
SG: Cm
Formation energy, eV per atom: -0.42

---

First-principles (PBE-GGA) data for a geometry-optimized TbCoI structure, as listed in Alexandria via LeMat-Bulk.

Geometry as POSCAR:
```
TbCoI
1.0
3.992 -0.017 -0.022
-1.981 3.466 0.022
-1.895 -1.205 12.284
I Tb Co
2 2 2
Direct
0.451 0.722 0.173
0.549 0.278 0.827
0.099 0.551 0.650
0.901 0.449 0.350
0.669 0.835 0.504
0.331 0.165 0.496
```

Total magnetization, μB/f.u.: 0.2
SG: C2/m
Formation energy from raw total energies, eV per atom: -0.791

---

First-principles (PBE-GGA) data for a geometry-optimized CeSc2Zn9 structure, as listed in Alexandria via LeMat-Bulk.

Geometry as POSCAR:
```
CeSc2Zn9
1.0
5.100 0.000 1.518
2.324 4.540 1.518
0.092 0.056 9.019
Zn Sc Ce
9 2 1
Direct
0.665 0.665 0.005
0.922 0.411 0.257
0.589 0.078 0.743
0.411 0.922 0.257
0.589 0.589 0.743
0.078 0.589 0.743
0.500 0.500 0.500
0.335 0.335 0.995
0.411 0.411 0.257
0.857 0.857 0.429
0.143 0.143 0.571
0.000 0.000 0.000
```

Total magnetization, μB/f.u.: 0.6
SG: R-3m
Formation energy, eV per atom: -0.30